(1)
First-principles (meta-GGA SCAN) data for Pd3SeCl at its PBEsol-relaxed geometry, as listed in the Alexandria database.

```
data_Pd3SeCl
_symmetry_space_group_name_H-M 'P m -3 m'
_symmetry_Int_Tables_number 221
_symmetry_space_group_name_Hall '-P 4 2 3'
_cell_length_a 4.497
_cell_length_b 4.497
_cell_length_c 4.497
_cell_angle_alpha 90.00
_cell_angle_beta 90.00
_cell_angle_gamma 90.00
loop_
_atom_site_label
_atom_site_fract_x
_atom_site_fract_y
_atom_site_fract_z
Pd1 0.000 0.000 0.500
Se1 0.500 0.500 0.500
Cl1 0.000 0.000 0.000
```

Output
* crystal system: cubic
* energy relative to the elements, uncorrected: 44.63 kJ per mole of atoms
* final energy: -124.07 eV/cell

***

(2)
First-principles (meta-GGA SCAN) data for Si3PdCl at its PBEsol-relaxed geometry, as listed in the Alexandria database.

```
data_Si3PdCl
_symmetry_space_group_name_H-M 'P m -3 m'
_symmetry_Int_Tables_number 221
_symmetry_space_group_name_Hall '-P 4 2 3'
_cell_length_a 4.685
_cell_length_b 4.685
_cell_length_c 4.685
_cell_angle_alpha 90.00
_cell_angle_beta 90.00
_cell_angle_gamma 90.00
loop_
_atom_site_label
_atom_site_fract_x
_atom_site_fract_y
_atom_site_fract_z
Si1 0.000 0.000 0.500
Pd1 0.000 0.000 0.000
Cl1 0.500 0.500 0.500
```

Output
* crystal system: cubic
* energy relative to the elements, uncorrected: 56.96 kJ per mole of atoms
* final energy: -67.85 eV/cell

***

(3)
First-principles (meta-GGA SCAN) data for SiPdCl2 at its PBEsol-relaxed geometry, as listed in the Alexandria database.

```
data_SiPdCl2
_symmetry_space_group_name_H-M 'R -3 m'
_symmetry_Int_Tables_number 166
_symmetry_space_group_name_Hall '-R 3 2"'
_cell_length_a 3.1426
_cell_length_b 3.1426
_cell_length_c 24.9772
_cell_angle_alpha 90.00
_cell_angle_beta 90.00
_cell_angle_gamma 120.00
loop_
_atom_site_label
_atom_site_fract_x
_atom_site_fract_y
_atom_site_fract_z
Si1 0.0000 0.0000 0.0000
Pd1 0.0000 0.0000 0.5000
Cl1 0.0000 0.0000 0.0905
```

Output
* crystal system: trigonal
* energy relative to the elements, uncorrected: 14.35 kJ per mole of atoms
* final energy: -174.45 eV/cell

***

(4)
First-principles (meta-GGA SCAN) data for SrPd2Cl2 at its PBEsol-relaxed geometry, as listed in the Alexandria database.

```
data_SrPd2Cl2
_symmetry_space_group_name_H-M 'I 4/m m m'
_symmetry_Int_Tables_number 139
_symmetry_space_group_name_Hall '-I 4 2'
_cell_length_a 4.883
_cell_length_b 4.883
_cell_length_c 8.703
_cell_angle_alpha 90.00
_cell_angle_beta 90.00
_cell_angle_gamma 90.00
loop_
_atom_site_label
_atom_site_fract_x
_atom_site_fract_y
_atom_site_fract_z
Sr1 0.000 0.000 0.000
Pd1 0.000 0.000 0.345
Cl1 0.000 0.500 0.250
```

Output
* crystal system: tetragonal
* energy relative to the elements, uncorrected: -67.25 kJ per mole of atoms
* final energy: -214.53 eV/cell

***

Per-record spin magnetization, μB/f.u.: 0.00; 0.00; 0.00; 0.00